1.
Density functional theory data (PBE) for a geometry-optimized ZrRe2Hg structure.

Calculated values
Space-group type: No. 123
Total magnetization in μB per cell: 0.00

Unit cell a=2.7893 b=2.7893 c=9.2542 alpha=90.00 beta=90.00 gamma=90.00
Fractional coordinates of all 4 atoms:
Zr: 0.0000 0.0000 0.0000
Re: 0.5000 0.5000 0.2501
Re: 0.5000 0.5000 0.7499
Hg: 0.0000 0.0000 0.5000

2.
Density functional theory data (PBE) for a geometry-optimized HgGe2Rh2 structure.

Calculated values
Energy above the most stable polymorph in this dataset in meV/atom: 0.0
Space-group type: No. 127
Total magnetization in μB per cell: 0.00

Unit cell a=7.4228 b=7.4228 c=2.9852 alpha=90.00 beta=90.00 gamma=90.00
Fractional coordinates of all 10 atoms:
Hg: 0.0000 0.0000 0.0000
Hg: 0.5000 0.5000 0.0000
Ge: 0.1479 0.3521 0.5000
Ge: 0.3521 0.8521 0.5000
Ge: 0.6479 0.1479 0.5000
Ge: 0.8521 0.6479 0.5000
Rh: 0.1449 0.6449 0.0000
Rh: 0.3551 0.1449 0.0000
Rh: 0.6449 0.8551 0.0000
Rh: 0.8551 0.3551 0.0000

3.
Density functional theory data (PBE) for a geometry-optimized MnOsSeS2 structure.

Calculated values
Space-group type: No. 123
Total magnetization in μB per cell: 0.13
Formation energy (no corrections) in eV/atom: 0.9871

Unit cell a=4.4443 b=4.4443 c=4.9569 alpha=90.00 beta=90.00 gamma=90.00
Fractional coordinates of all 5 atoms:
Mn: 0.0000 0.0000 0.0000
Os: 0.0000 0.0000 0.5000
Se: 0.5000 0.5000 0.0000
S: 0.0000 0.5000 0.5000
S: 0.5000 0.0000 0.5000

4.
Density functional theory data (PBE) for a geometry-optimized RbPuSnCl6 structure.

Calculated values
Space-group type: No. 5
Total magnetization in μB per cell: 5.00
Formation energy (no corrections) in eV/atom: -1.6464

Unit cell a=7.3880 b=7.3880 c=7.0240 alpha=90.05 beta=90.05 gamma=119.55
Fractional coordinates of all 9 atoms:
Rb: 0.0000 0.0000 0.0000
Pu: 0.3326 0.6674 0.5000
Sn: 0.6667 0.3333 0.5000
Cl: 0.0113 0.6331 0.7197
Cl: 0.0121 0.3745 0.2851
Cl: 0.3567 0.3728 0.7156
Cl: 0.3669 0.9887 0.2803
Cl: 0.6255 0.9879 0.7149
Cl: 0.6272 0.6433 0.2844

5.
Density functional theory data (PBE) for a geometry-optimized TiCuIr3 structure.

Calculated values
Energy above the most stable polymorph in this dataset in meV/atom: 196.1
Space-group type: No. 221
Total magnetization in μB per cell: 0.00

Unit cell a=4.5572 b=4.5572 c=4.5572 alpha=90.00 beta=90.00 gamma=90.00
Fractional coordinates of all 5 atoms:
Ti: 0.0000 0.0000 0.0000
Cu: 0.5000 0.5000 0.5000
Ir: 0.0000 0.0000 0.5000
Ir: 0.0000 0.5000 0.0000
Ir: 0.5000 0.0000 0.0000

6.
Density functional theory data (PBE) for a geometry-optimized RbSiB structure.

Calculated values
Space-group type: No. 2
Total magnetization in μB per cell: 0.00
Formation energy (no corrections) in eV/atom: 0.1763

Unit cell a=3.5120 b=4.8269 c=10.7233 alpha=85.02 beta=89.91 gamma=68.80
Fractional coordinates of all 6 atoms:
Rb: 0.1087 0.2830 0.2692
Rb: 0.8913 0.7170 0.7308
Si: 0.1909 0.1186 0.9245
Si: 0.8091 0.8814 0.0755
B: 0.4087 0.6821 0.0105
B: 0.5913 0.3179 0.9895

7.
Density functional theory data (PBE) for a geometry-optimized SmEr3Co8 structure.

Calculated values
Space-group type: No. 160
Total magnetization in μB per cell: 7.55

Unit cell a=8.7779 b=8.7779 c=8.7779 alpha=33.51 beta=33.51 gamma=33.51
Fractional coordinates of all 12 atoms:
Sm: 0.0000 0.0000 0.0000
Er: 0.1253 0.1253 0.1253
Er: 0.5002 0.5002 0.5002
Er: 0.6248 0.6248 0.6248
Co: 0.0629 0.0629 0.5586
Co: 0.0629 0.5586 0.0629
Co: 0.0655 0.5629 0.5629
Co: 0.3122 0.3122 0.3122
Co: 0.5586 0.0629 0.0629
Co: 0.5629 0.0655 0.5629
Co: 0.5629 0.5629 0.0655
Co: 0.8127 0.8127 0.8127

8.
Density functional theory data (PBE) for a geometry-optimized MgPBr2 structure.

Calculated values
Energy above the most stable polymorph in this dataset in meV/atom: 871.2
Space-group type: No. 216
Total magnetization in μB per cell: 2.11
Formation energy (no corrections) in eV/atom: 0.3341

Unit cell a=5.1018 b=5.1018 c=5.1018 alpha=60.00 beta=60.00 gamma=60.00
Fractional coordinates of all 4 atoms:
Mg: 0.0000 0.0000 0.0000
P: 0.2500 0.2500 0.2500
Br: 0.5000 0.5000 0.5000
Br: 0.7500 0.7500 0.7500

| no. | calculated volume (Å³ per cell) | uncorrected energy (eV/atom) |
| --- | --- | --- |
| 1 | 72 | -7.7864 |
| 2 | 164 | -5.0720 |
| 3 | 98 | -5.4407 |
| 4 | 334 | -5.0222 |
| 5 | 95 | -6.4200 |
| 6 | 169 | -4.1797 |
| 7 | 184 | -6.4752 |
| 8 | 94 | -2.2535 |